The following is a DFT calculation (PBE with a Hubbard U) of a geometry-optimized TaNiO2 structure.

ΔE to the lowest computed polymorph, meV per atom: 45
Magnetization, μB per formula unit: 0.14

Cell and atoms, written as CIF:
```
data_TaNiO2
_cell_length_a 10.074
_cell_length_b 3.026
_cell_length_c 6.757
_cell_angle_alpha 90.00
_cell_angle_beta 97.79
_cell_angle_gamma 90.00
_space_group_name_H-M_alt 'C 1 m 1'
_space_group_IT_number 8
loop_
_space_group_symop_operation_xyz
'x,y,z'
'x,-y,z'
'x+1/2,y+1/2,z'
'x+1/2,-y+1/2,z'
loop_
_atom_site_label
_atom_site_type_symbol
_atom_site_fract_x
_atom_site_fract_y
_atom_site_fract_z
_atom_site_occupancy
Ta1 Ta 0.000 0.000 0.000 1
Ta2 Ta 0.157 0.500 0.422 1
Ni1 Ni 0.027 0.000 0.654 1
Ni2 Ni 0.322 0.000 0.713 1
O1 O 0.021 0.000 0.353 1
O2 O 0.129 0.500 0.104 1
O3 O 0.285 0.000 0.421 1
O4 O 0.373 0.000 0.004 1
```